# 1
DFT (GGA-PBE) results for a geometry-optimized Ag12Pd3Pt structure.

Computed properties:
Its formation enthalpy at 0 K is -23 meV/atom. The calculation puts the density of states at the Fermi level at 3.232 states/eV/f.u. The calculation puts the calculated total energy at -3.513 eV per atom. The symmetry is P4/mmm, No. 123. For the total moment, the calculation gives 0.0 μB per formula unit.

Unit cell a=4.115 b=4.115 c=16.222 alpha=90.00 beta=90.00 gamma=90.00
Atoms (fractional coordinates):
1 Ag 0.000 0.000 0.000
2 Ag 0.000 0.000 0.250
3 Ag 0.000 0.000 0.500
4 Ag 0.000 0.000 0.750
5 Ag 0.000 0.500 0.125
6 Ag 0.000 0.500 0.375
7 Ag 0.000 0.500 0.625
8 Ag 0.000 0.500 0.875
9 Ag 0.500 0.000 0.125
10 Ag 0.500 0.000 0.375
11 Ag 0.500 0.000 0.625
12 Ag 0.500 0.000 0.875
13 Pd 0.500 0.500 0.000
14 Pd 0.500 0.500 0.250
15 Pd 0.500 0.500 0.750
16 Pt 0.500 0.500 0.500

=====

# 2
DFT (GGA-PBE) results for a geometry-optimized CeP3Rh structure.

Computed properties:
Its formation enthalpy at 0 K is -812 meV/atom. The calculation puts the density of states at the Fermi level at 3.533 states/eV/f.u. The calculation puts the calculated total energy at -6.715 eV per atom. The symmetry is Pbcm, No. 57. For the total moment, the calculation gives 0.0 μB per formula unit.

Unit cell a=11.731 b=5.425 c=5.529 alpha=90.00 beta=90.00 gamma=90.00
Atoms (fractional coordinates):
1 Ce 0.191 0.004 0.250
2 Ce 0.191 0.496 0.750
3 Ce 0.809 0.504 0.250
4 Ce 0.809 0.996 0.750
5 P 0.001 0.750 0.000
6 P 0.001 0.750 0.500
7 P 0.280 0.006 0.750
8 P 0.280 0.494 0.250
9 P 0.429 0.122 0.250
10 P 0.429 0.378 0.750
11 P 0.571 0.622 0.250
12 P 0.571 0.878 0.750
13 P 0.720 0.506 0.750
14 P 0.720 0.994 0.250
15 P 0.999 0.250 0.000
16 P 0.999 0.250 0.500
17 Rh 0.418 0.750 0.000
18 Rh 0.418 0.750 0.500
19 Rh 0.582 0.250 0.000
20 Rh 0.582 0.250 0.500

=====

# 3
DFT (GGA-PBE) results for a geometry-optimized NdZnNiPd structure.

Computed properties:
Its formation enthalpy at 0 K is -364 meV/atom. The calculation puts the density of states at the Fermi level at 2.805 states/eV/f.u. The calculation puts the calculated total energy at -4.618 eV per atom. The symmetry is F-43m, No. 216. For the total moment, the calculation gives 0.0 μB per formula unit.

Unit cell a=4.701 b=4.701 c=4.701 alpha=60.00 beta=60.00 gamma=60.00
Atoms (fractional coordinates):
1 Nd 0.000 0.000 0.000
2 Zn 0.500 0.500 0.500
3 Ni 0.750 0.750 0.750
4 Pd 0.250 0.250 0.250

=====

# 4
DFT (GGA-PBE) results for a geometry-optimized Pm2NiSn structure.

Computed properties:
Its formation enthalpy at 0 K is -311 meV/atom. The calculation puts the density of states at the Fermi level at 2.642 states/eV/f.u. The calculation puts the calculated total energy at -5.133 eV per atom. The symmetry is Immm, No. 71. For the total moment, the calculation gives 0.0 μB per formula unit.

Unit cell a=6.023 b=6.023 c=6.023 alpha=136.99 beta=132.87 gamma=65.70
Atoms (fractional coordinates):
1 Pm 0.168 0.168 0.000
2 Pm 0.832 0.832 0.000
3 Ni 0.000 0.500 0.500
4 Sn 0.500 0.500 0.000

=====

# 5
DFT (GGA-PBE) results for a geometry-optimized AgHg2P structure.

Computed properties:
Its formation enthalpy at 0 K is 290 meV/atom. The calculation puts the density of states at the Fermi level at 1.207 states/eV/f.u. The calculation puts the calculated total energy at -1.926 eV per atom. The symmetry is Cm, No. 8. For the total moment, the calculation gives 0.0 μB per formula unit.

Unit cell a=4.974 b=4.974 c=6.927 alpha=111.26 beta=111.26 gamma=35.35
Atoms (fractional coordinates):
1 Ag 0.000 0.000 0.000
2 Hg 0.217 0.217 0.805
3 Hg 0.392 0.392 0.476
4 P 0.610 0.610 0.322

=====

# 6
DFT (GGA-PBE) results for a geometry-optimized KPtSe2 structure.

Computed properties:
The calculation puts the density of states at the Fermi level at 3.328 states/eV/f.u. The calculation puts the calculated total energy at -4.154 eV per atom. The symmetry is Cmcm, No. 63. For the total moment, the calculation gives 0.0 μB per formula unit.

Unit cell a=6.947 b=6.947 c=7.377 alpha=90.00 beta=90.00 gamma=129.42
Atoms (fractional coordinates):
1 K 0.145 0.855 0.750
2 K 0.855 0.145 0.250
3 Pt 0.500 0.500 0.250
4 Pt 0.500 0.500 0.750
5 Se 0.372 0.628 0.501
6 Se 0.372 0.628 0.999
7 Se 0.628 0.372 0.001
8 Se 0.628 0.372 0.499

=====

# 7
DFT (GGA-PBE) results for a geometry-optimized As2PtBrCl structure.

Computed properties:
The calculation puts the density of states at the Fermi level at 4.026 states/eV/f.u. The calculation puts the calculated total energy at -3.377 eV per atom. The symmetry is P4/mmm, No. 123. For the total moment, the calculation gives 0.0 μB per formula unit.

Unit cell a=4.922 b=4.922 c=5.231 alpha=90.00 beta=90.00 gamma=90.00
Atoms (fractional coordinates):
1 As 0.000 0.500 0.000
2 As 0.500 0.000 0.000
3 Pt 0.000 0.000 0.000
4 Br 0.000 0.000 0.500
5 Cl 0.500 0.500 0.500

=====

# 8
DFT (GGA-PBE) results for a geometry-optimized CaSc2Fe structure.

Computed properties:
Its formation enthalpy at 0 K is 207 meV/atom. The calculation puts the density of states at the Fermi level at 3.545 states/eV/f.u. The calculation puts the calculated total energy at -5.575 eV per atom. The symmetry is Cm, No. 8. For the total moment, the calculation gives 0.0 μB per formula unit.

Unit cell a=5.661 b=5.661 c=6.061 alpha=119.46 beta=119.46 gamma=35.66
Atoms (fractional coordinates):
1 Ca 0.000 0.000 0.000
2 Sc 0.177 0.177 0.671
3 Sc 0.370 0.370 0.375
4 Fe 0.729 0.729 0.447

=====

Question: Which of these has the highest calculated total energy?
Answer: AgHg2P

=====

Please write out number 6 again, unchanged.
DFT (GGA-PBE) results for a geometry-optimized KPtSe2 structure.

Computed properties:
The calculation puts the density of states at the Fermi level at 3.328 states/eV/f.u. The calculation puts the calculated total energy at -4.154 eV per atom. The symmetry is Cmcm, No. 63. For the total moment, the calculation gives 0.0 μB per formula unit.

Unit cell a=6.947 b=6.947 c=7.377 alpha=90.00 beta=90.00 gamma=129.42
Atoms (fractional coordinates):
1 K 0.145 0.855 0.750
2 K 0.855 0.145 0.250
3 Pt 0.500 0.500 0.250
4 Pt 0.500 0.500 0.750
5 Se 0.372 0.628 0.501
6 Se 0.372 0.628 0.999
7 Se 0.628 0.372 0.001
8 Se 0.628 0.372 0.499